The following is a DFT calculation (GGA-PBE) of a relaxed CaZn2Rh crystal.

Cell and atoms, written as POSCAR:
```
CaZn2Rh
1.0
-3.230 2.064 2.065
-1.400 -1.456 3.857
1.820 3.151 4.331
Ca Rh Zn
1 1 2
Cartesian
-1.353 1.927 5.165 Ca
-1.468 3.380 8.137 Rh
1.612 2.969 4.186 Zn
-1.185 0.515 2.221 Zn
```

Properties
electronic total energy	-3.3481	eV per atom
crystal system	monoclinic
D(E_F)	1.71	states/eV/cell